The following is a DFT calculation (PBE-GGA) of an optimized crystal structure of Ag3BiRh.

a b c (Å): 5.0172 5.0172 5.0172
angles (deg): 90.00 90.00 90.00
Fractional coordinates of all 5 atoms:
Rh: 0.0000 0.0000 0.0000
Bi: 0.5000 0.5000 0.5000
Ag: 0.0000 0.5000 0.0000
Ag: 0.0000 0.0000 0.5000
Ag: 0.5000 0.0000 0.0000

Excess energy over the best structure of this formula in the dataset ... 0.000 eV per atom
E_tot ... -15.54 eV for the cell shown
Energy of formation from the pure elements ... 82.0 kJ per mole of atoms
Crystal system ... cubic
V ... 25.26 Å³ per atom